1.
Below is a geometry-optimized ScMnZn structure, with properties calculated at the PBE level.

Cell: 3.0476 3.0476 6.5440 Å, 90.00 90.00 120.00°
With the nearest neighbours (Å) after each atom.
Fractional positions:
Sc1 0.6667 0.3333 0.3238  3 Mn 2.80, 3 Zn 2.94, 6 Sc 3.05
Zn1 0.3333 0.6667 0.6845  3 Mn 2.67, 3 Sc 2.94
Mn1 0.0000 0.0000 0.9916  3 Zn 2.67, 3 Sc 2.80

Output
Energy = -5.46 eV per atom
SG = P3m1, No. 156
Total moment = 2.66 μB/f.u.



2.
Below is a geometry-optimized RbAgBiSe3 structure, with properties calculated at the PBE level.

Cell: 4.2845 9.5218 10.0718 Å, 108.78 90.00 90.00°
With the nearest neighbours (Å) after each atom.
Fractional positions:
Rb1 0.2500 0.2047 0.2428  7 Se 3.55-3.65
Bi1 0.2500 0.6709 0.1367  6 Se 2.84-3.09
Se1 0.2500 0.5382 0.8407  3 Bi 2.84-2.98
Bi2 0.7500 0.3291 0.8633  6 Se 2.84-3.09
Ag1 0.2500 0.0754 0.5931  4 Se 2.68-2.69, 2 Ag 2.90
Se2 0.2500 0.1202 0.8710  1 Ag 2.69, 2 Bi 2.94
Se3 0.2500 0.7824 0.4603  3 Ag 2.68
Se4 0.7500 0.2176 0.5397  3 Ag 2.68
Ag2 0.7500 0.9246 0.4069  4 Se 2.68-2.69, 2 Ag 2.90
Se5 0.7500 0.4618 0.1593  3 Bi 2.84-2.98
Se6 0.7500 0.8798 0.1290  1 Ag 2.69, 2 Bi 2.94
Rb2 0.7500 0.7953 0.7572  7 Se 3.55-3.65

Output
Energy = -3.51 eV per atom
SG = P2_1/m, No. 11
Formation energy without anion corrections = -0.48 eV per atom
Total moment = 0.00 μB/f.u.



3.
Below is a geometry-optimized Ba2ScAl2 structure, with properties calculated at the PBE level.

Cell: 7.8619 7.8619 5.4828 Å, 90.00 90.00 90.00°
With the nearest neighbours (Å) after each atom.
Fractional positions:
Sc1 0.5000 0.5000 0.0000  4 Al 3.12
Sc2 0.0000 0.0000 0.0000  4 Al 3.12
Al1 0.6221 0.1221 0.0000  1 Al 2.71
Al2 0.1221 0.3779 0.0000  1 Al 2.71
Ba1 0.8218 0.3218 0.5000  6 Al 3.53-3.64
Ba2 0.3218 0.1782 0.5000  6 Al 3.53-3.64
Ba3 0.1782 0.6782 0.5000  6 Al 3.53-3.64
Al3 0.8779 0.6221 0.0000  1 Al 2.71
Ba4 0.6782 0.8218 0.5000  6 Al 3.53-3.64
Al4 0.3779 0.8779 0.0000  1 Al 2.71

Output
Energy = -3.46 eV per atom
SG = P4/mbm, No. 127
Distance to the lowest polymorph of the same formula = 0.0 meV per atom
Total moment = 0.00 μB/f.u.



4.
Below is a geometry-optimized SnPtPb structure, with properties calculated at the PBE level.

Cell: 3.3599 3.3599 6.8666 Å, 104.16 104.16 90.00°
With the nearest neighbours (Å) after each atom.
Fractional positions:
Sn1 0.2964 0.2964 0.5927  4 Pt 2.83
Pt1 0.6765 0.6765 0.3530  4 Sn 2.83, 4 Pb 3.06
Pb1 0.0272 0.0272 0.0543  4 Pt 3.06, 4 Pb 3.36

Output
Energy = -4.77 eV per atom
SG = I4mm, No. 107
Distance to the lowest polymorph of the same formula = 129.1 meV per atom
Total moment = 0.00 μB/f.u.



5.
Below is a geometry-optimized MgZn2AsN4 structure, with properties calculated at the PBE level.

Cell: 5.3129 5.5983 6.5712 Å, 90.00 90.00 90.00°
With the nearest neighbours (Å) after each atom.
Fractional positions:
Zn1 0.5008 0.3306 0.7486  4 N 2.02-2.05
N1 0.8832 0.3257 0.7721  1 As 1.82, 2 Zn 2.03-2.04
N2 0.8832 0.3257 0.2279  1 As 1.82, 2 Zn 2.03-2.04
Zn2 0.5008 0.3306 0.2514  4 N 2.02-2.05
N3 0.3447 0.1845 0.0000  1 As 1.83, 2 Zn 2.02
Zn3 0.0008 0.6694 0.2486  4 N 2.02-2.05
N4 0.8447 0.8155 0.5000  1 As 1.83, 2 Zn 2.02
As1 0.5004 0.8228 0.5000  4 N 1.82-1.84
N5 0.3919 0.1348 0.5000  1 As 1.84, 2 Zn 2.05
N6 0.3832 0.6743 0.7279  1 As 1.82, 2 Zn 2.03-2.04
Zn4 0.0008 0.6694 0.7514  4 N 2.02-2.05
N7 0.8919 0.8652 0.0000  1 As 1.84, 2 Zn 2.05
Mg1 0.4950 0.8380 0.0000  4 N 2.10-2.11
N8 0.3832 0.6743 0.2721  1 As 1.82, 2 Zn 2.03-2.04
Mg2 0.9950 0.1620 0.5000  4 N 2.10-2.11
As2 0.0004 0.1772 0.0000  4 N 1.82-1.84

Output
Energy = -5.29 eV per atom
SG = Pmn2_1, No. 31
Formation energy without anion corrections = -0.03 eV per atom
Total moment = 0.51 μB/f.u.



6.
Below is a geometry-optimized TlCdI3 structure, with properties calculated at the PBE level.

Cell: 4.4903 10.3896 16.5634 Å, 90.00 90.00 90.00°
With the nearest neighbours (Å) after each atom.
Fractional positions:
Tl1 0.7500 0.0316 0.6754  6 I 3.48-3.80
I1 0.2500 0.0201 0.1052  3 Cd 3.04-3.09
Tl2 0.7500 0.5316 0.8246  6 I 3.48-3.80
I2 0.7500 0.3365 0.0100  2 Cd 3.04
I3 0.2500 0.6635 0.9900  2 Cd 3.04
Cd1 0.2500 0.6670 0.5537  6 I 2.92-3.09
Tl3 0.2500 0.9684 0.3246  6 I 3.48-3.80
Tl4 0.2500 0.4684 0.1754  6 I 3.48-3.80
I4 0.7500 0.8365 0.4900  2 Cd 3.04
I5 0.2500 0.5201 0.3948  3 Cd 3.04-3.09
I6 0.7500 0.4799 0.6052  3 Cd 3.04-3.09
I7 0.7500 0.2169 0.2860  1 Cd 2.92
I8 0.2500 0.1635 0.5100  2 Cd 3.04
Cd2 0.7500 0.8330 0.0537  6 I 2.92-3.09
I9 0.2500 0.7831 0.7140  1 Cd 2.92
I10 0.7500 0.9799 0.8948  3 Cd 3.04-3.09
Cd3 0.7500 0.3330 0.4463  6 I 2.92-3.09
I11 0.2500 0.2831 0.7860  1 Cd 2.92
Cd4 0.2500 0.1670 0.9463  6 I 2.92-3.09
I12 0.7500 0.7169 0.2140  1 Cd 2.92

Output
Energy = -2.18 eV per atom
SG = Pnma, No. 62
Formation energy without anion corrections = -0.59 eV per atom
Distance to the lowest polymorph of the same formula = 14.7 meV per atom
Total moment = 0.00 μB/f.u.



7.
Below is a geometry-optimized HoPa2Ga6 structure, with properties calculated at the PBE level.

Cell: 4.4443 7.6998 7.6998 Å, 53.13 73.23 73.23°
With the nearest neighbours (Å) after each atom.
Fractional positions:
Ga1 0.6930 0.6062 0.0077  4 Ga 2.58-2.77
Pa1 0.1040 0.3960 0.3960  1 Pa 2.71, 6 Ga 2.99
Pa2 0.8960 0.6040 0.6040  1 Pa 2.71, 6 Ga 2.99
Ga2 0.6930 0.0077 0.6062  4 Ga 2.58-2.77
Ga3 0.5000 0.7134 0.2866  2 Ga 2.58
Ga4 0.5000 0.2866 0.7134  2 Ga 2.58
Ho1 0.0000 0.0000 0.0000  4 Ga 2.97
Ga5 0.3070 0.3938 0.9923  4 Ga 2.58-2.77
Ga6 0.3070 0.9923 0.3938  4 Ga 2.58-2.77

Output
Energy = -4.90 eV per atom
SG = Immm, No. 71
Distance to the lowest polymorph of the same formula = 144.8 meV per atom
Total moment = 0.00 μB/f.u.



8.
Below is a geometry-optimized Tb2Pm2Sc5 structure, with properties calculated at the PBE level.

Cell: 8.3894 10.5678 8.9113 Å, 126.37 118.08 90.00°
With the nearest neighbours (Å) after each atom.
Fractional positions:
Sc1 0.7969 0.8771 0.1984  4 Sc 3.07-3.31, 2 Tb 3.17-3.31, 2 Pm 3.26-3.43
Tb1 0.6415 0.9221 0.5000  5 Sc 3.31-3.35, 2 Tb 3.32, 4 Pm 3.48-3.69
Tb2 0.3585 0.4221 0.5000  5 Sc 3.31-3.35, 2 Tb 3.32, 4 Pm 3.48-3.69
Tb3 0.5000 0.5468 0.0000  4 Sc 3.15-3.17, 2 Tb 3.32, 2 Pm 3.47
Sc2 0.8122 0.6619 0.7481  3 Sc 2.89-3.11, 1 Tb 3.15
Sc3 0.2031 0.6787 0.8016  4 Sc 3.07-3.31, 2 Tb 3.17-3.31, 2 Pm 3.26-3.43
Tb4 0.0000 0.0468 0.0000  4 Sc 3.15-3.17, 2 Tb 3.32, 2 Pm 3.47
Sc4 0.4358 0.1619 0.7481  3 Sc 2.89-3.11, 1 Tb 3.15
Pm1 0.2235 0.5852 0.2066  2 Pm 3.14-3.42, 4 Sc 3.26-3.43, 2 Tb 3.47-3.48
Sc5 0.9015 0.3771 0.1984  4 Sc 3.07-3.31, 2 Tb 3.17-3.31, 2 Pm 3.26-3.43
Sc6 0.9933 0.7717 0.5000  4 Sc 3.16-3.25, 1 Tb 3.35
Pm2 0.5168 0.8786 0.7934  2 Pm 3.14-3.42, 4 Sc 3.26-3.43, 2 Tb 3.47-3.48
Pm3 0.7765 0.3786 0.7934  2 Pm 3.14-3.42, 4 Sc 3.26-3.43, 2 Tb 3.47-3.48
Sc7 0.0985 0.1787 0.8016  4 Sc 3.07-3.31, 2 Tb 3.17-3.31, 2 Pm 3.26-3.43
Sc8 0.1878 0.9138 0.2519  3 Sc 2.89-3.11, 1 Tb 3.15
Sc9 0.5642 0.4138 0.2519  3 Sc 2.89-3.11, 1 Tb 3.15
Sc10 0.0067 0.2717 0.5000  4 Sc 3.16-3.25, 1 Tb 3.35
Pm4 0.4832 0.0852 0.2066  2 Pm 3.14-3.42, 4 Sc 3.26-3.43, 2 Tb 3.47-3.48

Output
Energy = -5.41 eV per atom
SG = Ima2, No. 46
Total moment = 0.00 μB/f.u.